Here is CeZrV after structural relaxation from Alexandria. Energies are from PBE.

Summary:
- energy of formation (eV per atom) = 0.292
- raw total energy (eV/atom) = -7.5753
- space-group type = R-3m, No. 166

abc: 13.2783 13.2783 13.2783
angles: 25.41 25.41 25.41
Last column: nearest neighbours and their distance in Å.
Element x y z (fractional)
Ce 0.2302 0.2302 0.7152  4 Ce 2.83-3.01, 2 V 2.85-3.05
Ce 0.2302 0.7152 0.2302  4 Ce 2.83-3.01, 2 V 2.85-3.05
Ce 0.2848 0.7698 0.7698  4 Ce 2.83-3.01, 2 V 2.85-3.05
Ce 0.7152 0.2302 0.2302  4 Ce 2.83-3.01, 2 V 2.85-3.05
Ce 0.7698 0.2848 0.7698  4 Ce 2.83-3.01, 2 V 2.85-3.05
Ce 0.7698 0.7698 0.2848  4 Ce 2.83-3.01, 2 V 2.85-3.05
Zr 0.2269 0.2269 0.2269  3 V 2.87
Zr 0.3159 0.3159 0.3159  9 Ce 3.32-3.35, 4 Zr 3.43-3.63, 3 V 3.44
Zr 0.4647 0.4647 0.4647  1 Zr 2.72
Zr 0.5353 0.5353 0.5353  1 Zr 2.72
Zr 0.6841 0.6841 0.6841  9 Ce 3.32-3.35, 4 Zr 3.43-3.63, 3 V 3.44
Zr 0.7731 0.7731 0.7731  3 V 2.87
V 0.0000 0.0000 0.0000  6 Ce 2.85
V 0.0000 0.0000 0.5000  2 V 2.37
V 0.0000 0.5000 0.0000  2 V 2.37
V 0.1236 0.1236 0.1236  3 V 2.37
V 0.5000 0.0000 0.0000  2 V 2.37
V 0.8764 0.8764 0.8764  3 V 2.37


Here is Dy8ThMg2 after structural relaxation from Alexandria. Energies are from PBE.

Summary:
- energy of formation (eV per atom) = 0.018
- raw total energy (eV/atom) = -4.2932
- space-group type = C2/m, No. 12

abc: 9.1246 9.1246 7.9143
angles: 106.83 106.83 32.01
Last column: nearest neighbours and their distance in Å.
Element x y z (fractional)
Dy 0.0480 0.0480 0.2360  9 Dy 3.47-3.61, 1 Mg 3.48, 2 Th 3.53
Dy 0.1378 0.1378 0.6921  3 Mg 3.38-3.44, 7 Dy 3.47-3.57, 2 Th 3.50
Dy 0.3178 0.3178 0.5705  3 Mg 3.33-3.68, 1 Th 3.41, 8 Dy 3.41-3.59
Dy 0.4066 0.4066 0.0429  3 Mg 3.43-3.45, 1 Th 3.49, 8 Dy 3.51-3.59
Dy 0.5934 0.5934 0.9571  3 Mg 3.43-3.45, 1 Th 3.49, 8 Dy 3.51-3.59
Dy 0.6822 0.6822 0.4295  3 Mg 3.33-3.68, 1 Th 3.41, 8 Dy 3.41-3.59
Dy 0.8622 0.8622 0.3079  3 Mg 3.38-3.44, 7 Dy 3.47-3.57, 2 Th 3.50
Dy 0.9520 0.9520 0.7640  9 Dy 3.47-3.61, 1 Mg 3.48, 2 Th 3.53
Th 0.5000 0.5000 0.5000  12 Dy 3.41-3.53
Mg 0.2278 0.2278 0.1350  10 Dy 3.33-3.68, 2 Mg 3.54
Mg 0.7722 0.7722 0.8650  10 Dy 3.33-3.68, 2 Mg 3.54


Here is ZnCr2CS after structural relaxation from Alexandria. Energies are from PBE.

Summary:
- raw total energy (eV/atom) = -4.9323
- energy relative to the elements, uncorrected (eV per atom) = 1.8421
- space-group type = P4/mmm, No. 123

abc: 4.5934 4.5934 3.4395
angles: 90.00 90.00 90.00
Last column: nearest neighbours and their distance in Å.
Element x y z (fractional)
Zn 0.0000 0.0000 0.0000  2 C 1.72
Cr 0.0000 0.5000 0.0000  2 Zn 2.30
Cr 0.5000 0.0000 0.0000  2 Zn 2.30
C 0.0000 0.0000 0.5000  2 Zn 1.72
S 0.5000 0.5000 0.5000  8 Cr 2.87


Here is GeBi2Au2 after structural relaxation from Alexandria. Energies are from PBE.

Summary:
- energy of formation (eV per atom) = 0.012
- raw total energy (eV/atom) = -3.7748
- space-group type = P-1, No. 2

abc: 4.3663 6.4683 9.2927
angles: 84.47 77.17 72.93
Last column: nearest neighbours and their distance in Å.
Element x y z (fractional)
Ge 0.1921 0.0442 0.1291  4 Au 2.64-2.71
Ge 0.8079 0.9558 0.8709  4 Au 2.64-2.71
Bi 0.1735 0.3865 0.8111  4 Au 2.99-3.28, 1 Bi 3.30
Bi 0.3122 0.3153 0.4034  5 Au 3.01-3.37, 2 Bi 3.30-3.35
Bi 0.6878 0.6847 0.5966  5 Au 3.01-3.37, 2 Bi 3.30-3.35
Bi 0.8265 0.6135 0.1889  4 Au 2.99-3.28, 1 Bi 3.30
Au 0.2158 0.8528 0.3919  1 Ge 2.64, 1 Au 2.86
Au 0.3818 0.7201 0.9353  3 Ge 2.67-2.71, 1 Au 2.96, 1 Bi 2.99
Au 0.6182 0.2799 0.0647  3 Ge 2.67-2.71, 1 Au 2.96, 1 Bi 2.99
Au 0.7842 0.1472 0.6081  1 Ge 2.64, 1 Au 2.86